Below is crystalline Ni3S2 at its relaxed geometry, with properties calculated at the GGA-PBE level.

Results
- Formation energy without anion corrections: -370.9 meV per atom
- Volume: 201.8 Å³ per cell
- Mass density: 5.9 g cm⁻³

Lattice parameters (Å, degrees): 5.7209 5.7209 7.1200 90.00 90.00 120.00
Last column: nearest neighbours and their distance in Å.
Space group R32 (No. 155, hexagonal axes)
One atom of each set of equivalent atoms:
Ni 0.0000 0.2559 0.0000  4 S 2.25-2.28, 2 Ni 2.49
S 0.0000 0.0000 0.2451  6 Ni 2.25-2.28